Record 1
DFT (PBE) results for a geometry-optimized Pa3Cr2Si4 structure.

Properties
total energy: -8.142 eV/atom
uncorrected formation energy: -0.43 eV/atom
density of states at the Fermi level: 22.40 states/eV per cell
crystal system: monoclinic

Cell: 10.2711 4.2158 7.8308 Å, 90.00 105.22 90.00°
Closest atoms and distances in Å follow each position.
Space group C2/m (No. 12)
Unique sites:
Pa 0.0000 0.0000 0.0000 (multiplicity 2)  8 Si 2.98-3.17
Pa 0.1251 0.5000 0.6969 (multiplicity 4)  3 Cr 2.77-3.00, 7 Si 2.90-3.06
Cr 0.1875 0.5000 0.3738 (multiplicity 4)  4 Si 2.37-2.47
Si 0.0904 0.0000 0.4057 (multiplicity 4)  3 Cr 2.37-2.47
Si 0.2132 0.5000 0.0801 (multiplicity 4)  1 Cr 2.38, 2 Si 2.66



Record 2
DFT (PBE) results for a geometry-optimized Pa2CrSi structure.

Properties
total energy: -8.148 eV/atom
uncorrected formation energy: 0.36 eV/atom
density of states at the Fermi level: 15.10 states/eV per cell
crystal system: trigonal
distance to the lowest polymorph of the same formula: 47.95 kJ per mole of atoms

Cell: 3.0781 3.0781 28.9391 Å, 90.00 90.00 120.00°
Closest atoms and distances in Å follow each position.
Space group R-3m (No. 166, hexagonal axes)
Unique sites:
Pa 0.0000 0.0000 0.0810 (multiplicity 6)  1 Cr 2.34
Cr 0.0000 0.0000 0.0000 (multiplicity 3)  2 Pa 2.34
Si 0.0000 0.0000 0.5000 (multiplicity 3)  6 Pa 3.05, 6 Si 3.08



Record 3
DFT (PBE) results for a geometry-optimized PaCrSi2 structure.

Properties
total energy: -7.952 eV/atom
uncorrected formation energy: -0.46 eV/atom
density of states at the Fermi level: 19.22 states/eV per cell
crystal system: orthorhombic

Cell: 6.9457 3.9092 9.9825 Å, 90.00 90.00 90.00°
Closest atoms and distances in Å follow each position.
Space group Pnma (No. 62)
Unique sites:
Pa 0.1597 0.2500 0.1316 (multiplicity 4)  9 Si 2.96-3.16, 2 Cr 3.12
Cr 0.0088 0.7500 0.3927 (multiplicity 4)  5 Si 2.36-2.48
Si 0.1513 0.2500 0.8167 (multiplicity 4)  2 Cr 2.37-2.48, 2 Si 2.44
Si 0.2124 0.2500 0.4276 (multiplicity 4)  3 Cr 2.36-2.44, 2 Si 2.44



Record 4
DFT (PBE) results for a geometry-optimized Pa3Cr2Si9 structure.

Properties
total energy: -7.348 eV/atom
uncorrected formation energy: -0.45 eV/atom
density of states at the Fermi level: 18.52 states/eV per cell
crystal system: hexagonal

Cell: 5.8950 5.8950 15.0373 Å, 90.00 90.00 120.00°
Closest atoms and distances in Å follow each position.
Space group P6_3/mmc (No. 194)
Unique sites:
Pa 0.0000 0.0000 0.2500 (multiplicity 2)  12 Si 2.96-3.02
Pa 0.3333 0.6667 0.0701 (multiplicity 4)  12 Si 2.91-3.04
Cr 0.3333 0.6667 0.6637 (multiplicity 4)  6 Si 2.37-2.39, 1 Cr 2.60
Si 0.0599 0.5299 0.2500 (multiplicity 6)  2 Cr 2.39, 2 Si 2.42
Si 0.1431 0.2863 0.5739 (multiplicity 12)  1 Cr 2.37, 2 Si 2.53



Which value of density of states at the Fermi level does entry 3 give? 19.22 states/eV per cell